(1)
Computed, not measured: Ni2PAu after structural relaxation at the PBE level of DFT.

Output
spin magnetization = 0.00 μB per cell
formation energy = 205 meV per atom

Unit cell a=4.224 b=4.224 c=4.224 alpha=60.00 beta=60.00 gamma=60.00
Positions (direct):
1 Ni 0.000 0.000 0.000
2 Ni 0.750 0.750 0.750
3 P 0.250 0.250 0.250
4 Au 0.500 0.500 0.500


(2)
Computed, not measured: Li4Mg5 after structural relaxation at the PBE level of DFT.

Output
spin magnetization = 0.00 μB per cell
excess energy over the best structure of this formula in the dataset = 27 meV/atom
formation energy = -29 meV per atom

Unit cell a=10.601 b=10.601 c=7.688 alpha=46.41 beta=46.41 gamma=90.00
Positions (direct):
1 Li 0.000 0.336 0.000
2 Li 0.000 0.664 0.000
3 Li 0.336 0.000 0.000
4 Li 0.664 0.000 0.000
5 Mg 0.000 0.000 0.000
6 Mg 0.333 0.333 0.000
7 Mg 0.333 0.667 0.000
8 Mg 0.667 0.333 0.000
9 Mg 0.667 0.667 0.000


(3)
Computed, not measured: Nd2HoGa2Cu2 after structural relaxation at the PBE level of DFT.

Output
spin magnetization = 0.32 μB per cell
formation energy = -390 meV per atom

Unit cell a=4.397 b=4.397 c=9.762 alpha=76.99 beta=76.99 gamma=60.00
Positions (direct):
1 Nd 0.123 0.123 0.632
2 Nd 0.877 0.877 0.368
3 Ho 0.000 0.000 0.000
4 Ga 0.730 0.730 0.811
5 Ga 0.270 0.270 0.189
6 Cu 0.610 0.610 0.170
7 Cu 0.390 0.390 0.830


(4)
Computed, not measured: CaYCd2 after structural relaxation at the PBE level of DFT.

Output
spin magnetization = 0.00 μB per cell
formation energy = -148 meV per atom

Unit cell a=5.283 b=5.283 c=6.697 alpha=78.96 beta=78.96 gamma=40.77
Positions (direct):
1 Y 0.250 0.250 0.250
2 Ca 0.750 0.750 0.750
3 Cd 0.998 0.998 0.019
4 Cd 0.502 0.502 0.481


(5)
Computed, not measured: NaPuAg2Se4 after structural relaxation at the PBE level of DFT.

Output
formation energy (no corrections) = -0.5585 eV/atom
spin magnetization = 4.40 μB per cell

Unit cell a=7.273 b=6.394 c=6.394 alpha=69.31 beta=55.34 gamma=55.34
Positions (direct):
1 Na 0.000 0.000 0.000
2 Pu 0.500 0.500 0.500
3 Ag 0.252 0.248 0.248
4 Ag 0.748 0.752 0.752
5 Se 0.536 0.035 0.464
6 Se 0.035 0.965 0.536
7 Se 0.965 0.464 0.035
8 Se 0.464 0.536 0.965


(6)
Computed, not measured: Pm12SmSi4 after structural relaxation at the PBE level of DFT.

Output
formation energy (no corrections) = -0.0237 eV/atom
spin magnetization = 0.00 μB per cell

Unit cell a=9.104 b=9.104 c=9.104 alpha=109.47 beta=109.47 gamma=109.47
Positions (direct):
1 Pm 0.831 0.325 0.156
2 Pm 0.325 0.494 0.169
3 Pm 0.844 0.169 0.675
4 Pm 0.325 0.156 0.831
5 Pm 0.156 0.831 0.325
6 Pm 0.675 0.506 0.831
7 Pm 0.494 0.169 0.325
8 Pm 0.506 0.831 0.675
9 Pm 0.675 0.844 0.169
10 Pm 0.831 0.675 0.506
11 Pm 0.169 0.325 0.494
12 Pm 0.169 0.675 0.844
13 Sm 0.000 0.000 0.000
14 Si 0.000 0.500 0.000
15 Si 0.500 0.000 0.000
16 Si 0.500 0.500 0.500
17 Si 0.000 0.000 0.500


(7)
Computed, not measured: Mg5Sc2Cd after structural relaxation at the PBE level of DFT.

Output
spin magnetization = 0.00 μB per cell
excess energy over the best structure of this formula in the dataset = 457 meV/atom
formation energy = 390 meV per atom

Unit cell a=4.927 b=6.640 c=6.640 alpha=90.00 beta=90.00 gamma=90.00
Positions (direct):
1 Mg 0.000 0.716 0.716
2 Mg 0.000 0.284 0.716
3 Mg 0.000 0.716 0.284
4 Mg 0.500 0.000 0.000
5 Mg 0.000 0.284 0.284
6 Sc 0.500 0.500 0.000
7 Sc 0.500 0.000 0.500
8 Cd 0.000 0.000 0.000


(8)
Computed, not measured: UNi4Pt after structural relaxation at the PBE level of DFT.

Output
spin magnetization = 0.00 μB per cell
formation energy = -429 meV per atom

Unit cell a=4.859 b=4.859 c=4.859 alpha=60.00 beta=60.00 gamma=60.00
Positions (direct):
1 Ni 0.625 0.625 0.124
2 Ni 0.625 0.124 0.625
3 Ni 0.625 0.625 0.625
4 Ni 0.124 0.625 0.625
5 U 0.250 0.250 0.250
6 Pt 0.000 0.000 0.000


(9)
Computed, not measured: VCo4W after structural relaxation at the PBE level of DFT.

Output
spin magnetization = 1.75 μB per cell
excess energy over the best structure of this formula in the dataset = 45 meV/atom
formation energy = 45 meV per atom

Unit cell a=3.029 b=3.029 c=7.873 alpha=90.00 beta=90.00 gamma=90.00
Positions (direct):
1 V 0.000 0.000 0.000
2 Co 0.500 0.500 0.158
3 Co 0.500 0.500 0.842
4 Co 0.000 0.000 0.668
5 Co 0.000 0.000 0.332
6 W 0.500 0.500 0.500


(10)
Computed, not measured: BaW2Cl after structural relaxation at the PBE level of DFT.

Output
formation energy (no corrections) = 1.6208 eV/atom
spin magnetization = 0.00 μB per cell
excess energy over the best structure of this formula in the dataset = 1449 meV/atom

Unit cell a=3.634 b=3.634 c=7.279 alpha=90.00 beta=90.00 gamma=90.00
Positions (direct):
1 Ba 0.500 0.500 0.250
2 W 0.000 0.000 0.910
3 W 0.000 0.000 0.590
4 Cl 0.500 0.500 0.750


(11)
Computed, not measured: CoB2W after structural relaxation at the PBE level of DFT.

Output
spin magnetization = 0.00 μB per cell
excess energy over the best structure of this formula in the dataset = 745 meV/atom
formation energy = 449 meV per atom

Unit cell a=3.515 b=3.515 c=7.308 alpha=76.08 beta=76.08 gamma=90.00
Positions (direct):
1 B 0.422 0.125 0.250
2 B 0.328 0.625 0.250
3 B 0.375 0.578 0.750
4 B 0.875 0.672 0.750
5 Co 0.500 0.500 0.000
6 Co 0.250 0.750 0.500
7 W 0.000 0.000 0.000
8 W 0.750 0.250 0.500


(12)
Computed, not measured: PrEr2Tm after structural relaxation at the PBE level of DFT.

Output
spin magnetization = 0.00 μB per cell
excess energy over the best structure of this formula in the dataset = 29 meV/atom
formation energy = 45 meV per atom

Unit cell a=5.443 b=3.519 c=13.386 alpha=89.99 beta=90.00 gamma=90.00
Positions (direct):
1 Pr 0.201 0.859 0.812
2 Pr 0.701 0.358 0.404
3 Er 0.701 0.858 0.150
4 Er 0.701 0.358 0.672
5 Er 0.201 0.858 0.544
6 Er 0.201 0.359 0.066
7 Tm 0.201 0.859 0.292
8 Tm 0.701 0.358 0.924